An optimized crystal structure of ReSb2, computed with PBE.

Geometry as POSCAR:
```
ReSb2
1.0
4.770 0.000 0.000
-2.385 4.131 0.000
0.000 0.000 3.274
Re Sb
1 2
Direct
0.000 0.000 0.000 Re
0.333 0.667 0.800 Sb
0.667 0.333 0.200 Sb
```

Results
DOS(E_F) ... 2.9 states/eV/f.u.
Formation energy without anion corrections ... 813 meV/atom
Space group ... P-3m1 (164)